Entry from Alexandria: an optimized crystal structure of InRe2Ag (GGA-PBE).

It has space group P2/m (No. 10), with a = 2.843 Å, b = 4.935 Å, c = 4.918 Å, α = 90.00°, β = 91.53° and γ = 90.00°. The inequivalent atoms are In at (0.000, 0.000, 0.000), Re at (0.182, 0.500, 0.737) and Ag at (0.500, 0.000, 0.500).

The calculation puts the raw total energy at -6.9359 eV per atom. The energy relative to the elements is 66.15 kJ/mol of atoms. Its density of states at the Fermi level is 0.6517 states/eV per atom.

***

Entry from Alexandria: an optimized crystal structure of InRe2Ag (GGA-PBE).

It has space group I-42d (No. 122), with a = 7.585 Å, b = 7.585 Å, c = 5.233 Å, α = 90.00°, β = 90.00° and γ = 90.00°. The inequivalent atoms are In at (0.000, 0.000, 0.000), Re at (0.242, 0.250, 0.625) and Ag at (0.000, 0.000, 0.500).

The calculation puts the raw total energy at -6.2659 eV per atom. The energy relative to the elements is 130.79 kJ/mol of atoms. Its density of states at the Fermi level is 0.9153 states/eV per atom.

***

Entry from Alexandria: an optimized crystal structure of ScIn2ReAg (GGA-PBE).

It has space group P4/mmm (No. 123), with a = 5.394 Å, b = 5.394 Å, c = 4.986 Å, α = 90.00°, β = 90.00° and γ = 90.00°. The inequivalent atoms are Sc at (0.000, 0.000, 0.000), In at (0.000, 0.500, 0.000), Re at (0.500, 0.500, 0.500) and Ag at (0.000, 0.000, 0.500).

The calculation puts the raw total energy at -3.7231 eV per atom. The energy relative to the elements is 163.87 kJ/mol of atoms. Its density of states at the Fermi level is 0.8249 states/eV per atom.

***

Entry from Alexandria: an optimized crystal structure of InReSi2Ag (GGA-PBE).

It has space group P4/mmm (No. 123), with a = 4.998 Å, b = 4.998 Å, c = 5.009 Å, α = 90.00°, β = 90.00° and γ = 90.00°. The inequivalent atoms are In at (0.000, 0.000, 0.000), Re at (0.500, 0.500, 0.500), Si at (0.000, 0.500, 0.000) and Ag at (0.000, 0.000, 0.500).

The calculation puts the raw total energy at -3.7605 eV per atom. As for the uncorrected formation energy: 10.08 eV per formula unit. Its density of states at the Fermi level is 0.5456 states/eV per atom.

***

Entry from Alexandria: an optimized crystal structure of Sr2InReAg (GGA-PBE).

It has space group P4/mmm (No. 123), with a = 5.877 Å, b = 5.877 Å, c = 5.075 Å, α = 90.00°, β = 90.00° and γ = 90.00°. The inequivalent atoms are Sr at (0.000, 0.500, 0.000), In at (0.000, 0.000, 0.500), Re at (0.500, 0.500, 0.500) and Ag at (0.500, 0.500, 0.000).

The calculation puts the raw total energy at -3.4095 eV per atom. The energy relative to the elements is 84.02 kJ/mol of atoms. Its density of states at the Fermi level is 0.9452 states/eV per atom.

***

Entry from Alexandria: an optimized crystal structure of InReTc2Ag (GGA-PBE).

It has space group P4/mmm (No. 123), with a = 4.689 Å, b = 4.689 Å, c = 5.150 Å, α = 90.00°, β = 90.00° and γ = 90.00°. The inequivalent atoms are In at (0.000, 0.000, 0.000), Re at (0.500, 0.500, 0.500), Tc at (0.000, 0.500, 0.500) and Ag at (0.500, 0.500, 0.000).

The calculation puts the raw total energy at -6.3165 eV per atom. The energy relative to the elements is 138.69 kJ/mol of atoms. Its density of states at the Fermi level is 1.0901 states/eV per atom.

***

Entry from Alexandria: an optimized crystal structure of In2ReAgW (GGA-PBE).

It has space group P4/mmm (No. 123), with a = 4.894 Å, b = 4.894 Å, c = 5.142 Å, α = 90.00°, β = 90.00° and γ = 90.00°. The inequivalent atoms are In at (0.000, 0.500, 0.000), Re at (0.000, 0.000, 0.500), Ag at (0.500, 0.500, 0.000) and W at (0.500, 0.500, 0.500).

The calculation puts the raw total energy at -4.5931 eV per atom. The energy relative to the elements is 207.72 kJ/mol of atoms. Its density of states at the Fermi level is 0.8345 states/eV per atom.

***

Entry from Alexandria: an optimized crystal structure of InAg2Rh (GGA-PBE).

It has space group P2/m (No. 10), with a = 3.041 Å, b = 4.984 Å, c = 4.739 Å, α = 90.00°, β = 92.06° and γ = 90.00°. The inequivalent atoms are In at (0.000, 0.000, 0.000), Ag at (0.249, 0.500, 0.744) and Rh at (0.500, 0.000, 0.500).

The calculation puts the raw total energy at -3.9387 eV per atom. The energy relative to the elements is 0.91 kJ/mol of atoms. Its density of states at the Fermi level is 0.5087 states/eV per atom.